[1]
# GGA+U Rb2TlCoO4, relaxed
# **Energy**: -292.17 eV per cell
data_Rb2TlCoO4
_chemical_formula_sum 'Rb16 Tl8 Co8 O32'
_cell_length_a 5.654
_cell_length_b 12.589
_cell_length_c 21.317
_cell_angle_alpha 90.00
_cell_angle_beta 90.00
_cell_angle_gamma 90.00
_space_group_name_H-M_alt 'F d d d'
_space_group_IT_number 70
loop_
_space_group_symop_operation_xyz
'x,y,z'
'-x,-y,-z'
'-x+1/4,-y+1/4,z'
'x+1/4,y+1/4,-z'
'x,-y+1/4,-z+1/4'
'-x,y+1/4,z+1/4'
'-x+1/4,y,-z+1/4'
'x+1/4,-y,z+1/4'
'x,y+1/2,z+1/2'
'-x,-y+1/2,-z+1/2'
'-x+1/4,-y+3/4,z+1/2'
'x+1/4,y+3/4,-z+1/2'
'x,-y+3/4,-z+3/4'
'-x,y+3/4,z+3/4'
'-x+1/4,y+1/2,-z+3/4'
'x+1/4,-y+1/2,z+3/4'
'x+1/2,y,z+1/2'
'-x+1/2,-y,-z+1/2'
'-x+3/4,-y+1/4,z+1/2'
'x+3/4,y+1/4,-z+1/2'
'x+1/2,-y+1/4,-z+3/4'
'-x+1/2,y+1/4,z+3/4'
'-x+3/4,y,-z+3/4'
'x+3/4,-y,z+3/4'
'x+1/2,y+1/2,z'
'-x+1/2,-y+1/2,-z'
'-x+3/4,-y+3/4,z'
'x+3/4,y+3/4,-z'
'x+1/2,-y+3/4,-z+1/4'
'-x+1/2,y+3/4,z+1/4'
'-x+3/4,y+1/2,-z+1/4'
'x+3/4,-y+1/2,z+1/4'
loop_
_atom_site_label
_atom_site_type_symbol
_atom_site_fract_x
_atom_site_fract_y
_atom_site_fract_z
Rb1 Rb 0.125 0.125 0.309
Tl1 Tl 0.125 0.125 0.125
Co1 Co 0.125 0.125 0.625
O1 O 0.086 0.282 0.834

---

[2]
# GGA+U Rb2TlCoO, relaxed
# **Energy**: -16.08 eV per cell
data_Rb2TlCoO
_chemical_formula_sum 'Rb2 Tl1 Co1 O1'
_cell_length_a 6.598
_cell_length_b 6.598
_cell_length_c 3.621
_cell_angle_alpha 90.00
_cell_angle_beta 90.00
_cell_angle_gamma 90.00
_space_group_name_H-M_alt 'P 4/m m m'
_space_group_IT_number 123
_space_group_name_Hall '-P 4 2'
loop_
_atom_site_label
_atom_site_type_symbol
_atom_site_fract_x
_atom_site_fract_y
_atom_site_fract_z
Rb1 Rb 0.000 0.500 0.000
Tl1 Tl 0.000 0.000 0.500
Co1 Co 0.500 0.500 0.500
O1 O 0.500 0.500 0.000

---

[3]
# GGA+U Rb3Tl3CoO8, relaxed
# **Energy**: -204.88 eV per cell
data_Rb3Tl3CoO8
_chemical_formula_sum 'Rb9 Tl9 Co3 O24'
_cell_length_a 6.7576
_cell_length_b 6.7576
_cell_length_c 19.6684
_cell_angle_alpha 90.00
_cell_angle_beta 90.00
_cell_angle_gamma 120.00
_space_group_name_H-M_alt 'R -3 m'
_space_group_IT_number 166
_space_group_name_Hall '-R 3 2"'
loop_
_atom_site_label
_atom_site_type_symbol
_atom_site_fract_x
_atom_site_fract_y
_atom_site_fract_z
Rb1 Rb 0.0000 0.5000 0.0000
Tl1 Tl 0.0000 0.5000 0.5000
Co1 Co 0.0000 0.0000 0.5000
O1 O 0.0000 0.0000 0.2282
O2 O 0.0506 0.5253 0.2206

---

[4]
# GGA+U RbUCoO6, relaxed
# **Energy**: -63.65 eV per cell
data_RbUCoO6
_chemical_formula_sum 'Rb1 U1 Co1 O6'
_cell_length_a 5.2919
_cell_length_b 5.2919
_cell_length_c 6.3889
_cell_angle_alpha 90.00
_cell_angle_beta 90.00
_cell_angle_gamma 120.00
_space_group_name_H-M_alt 'P 3 1 2'
_space_group_IT_number 149
loop_
_space_group_symop_operation_xyz
'x,y,z'
'-y,x-y,z'
'-x+y,-x,z'
'-y,-x,-z'
'-x+y,y,-z'
'x,x-y,-z'
loop_
_atom_site_label
_atom_site_type_symbol
_atom_site_fract_x
_atom_site_fract_y
_atom_site_fract_z
Rb1 Rb 0.0000 0.0000 0.0000
U1 U 0.3333 0.6667 0.5000
Co1 Co 0.6667 0.3333 0.5000
O1 O 0.3925 0.0269 0.6672

---

Q: energy of number 1 (Rb2TlCoO4)?
A: -292.17 eV per cell

---

Q: Which formula does entry 3 have?
A: Rb3Tl3CoO8